YIn2F: optimized geometry, PBE-GGA.

Its formation energy without anion corrections is -1.037 eV per atom. The value obtained for the total energy is -35.9 eV for the cell shown. For the excess energy over the best structure of this formula in the dataset, the calculation gives 0.00 eV/f.u.

Lattice parameters (Å, degrees): 9.477 9.477 7.077 47.97 47.97 90.00
Fractional coordinates of all 8 atoms:
Y1 0.000 0.000 0.000
Y2 0.750 0.250 0.500
F1 0.500 0.500 0.000
F2 0.250 0.750 0.500
In1 0.534 0.125 0.250
In2 0.216 0.625 0.250
In3 0.375 0.466 0.750
In4 0.875 0.784 0.750